{
  "formula": "NaAlGa",
  "functional": "PBE",
  "state": "relaxed",
  "n_ef_per_ev_atom": 0.391,
  "delta_e_f_ev_per_atom": -0.048,
  "de_polymorph_kj_per_mol_fu": 0,
  "spacegroup": "C2/m, No. 12",
  "lattice": [[-3.719, -0.991, -2.084], [1.126, -3.064, -5.147], [-1.960, -5.114, 1.333]],
  "species": ["Ga", "Al", "Na", "Ga", "Al", "Na"],
  "fractional_positions": [[0.851, 0.707, 0.591], [0.167, 0.918, 0.747], [0.575, 0.671, 0.180], [0.149, 0.293, 0.409], [0.833, 0.082, 0.253], [0.425, 0.329, 0.820]]
}